# 1
# GGA-PBE Mg2PW, optimized geometry
# Electronic total energy = -0.19304 Ha/atom
# Calculated formation energy = 0.14 eV/atom
# Symmetry = No. 6
data_Mg2PW
_chemical_formula_sum 'Mg2 P1 W1'
_symmetry_space_group_name_H-M 'P 1'
_symmetry_Int_Tables_number 1
_cell_length_a 4.500
_cell_length_b 2.814
_cell_length_c 5.537
_cell_angle_alpha 75.27
_cell_angle_beta 90.00
_cell_angle_gamma 90.00
loop_
_symmetry_equiv_pos_as_xyz
'x,y,z'
loop_
_atom_site_label
_atom_site_type_symbol
_atom_site_fract_x
_atom_site_fract_y
_atom_site_fract_z
_atom_site_occupancy
Mg1 Mg 0.000 0.949 0.979 1
Mg2 Mg 0.500 0.305 0.265 1
P1 P 0.000 0.675 0.523 1
W1 W 0.500 0.572 0.732 1



# 2
# GGA-PBE TbAsH2Rh2, optimized geometry
# Electronic total energy = -0.20655 Ha/atom
# Symmetry = No. 11
data_TbAsH2Rh2
_chemical_formula_sum 'Tb2 As2 H4 Rh4'
_symmetry_space_group_name_H-M 'P 1'
_symmetry_Int_Tables_number 1
_cell_length_a 5.578
_cell_length_b 4.921
_cell_length_c 6.348
_cell_angle_alpha 98.56
_cell_angle_beta 90.00
_cell_angle_gamma 90.00
loop_
_symmetry_equiv_pos_as_xyz
'x,y,z'
loop_
_atom_site_label
_atom_site_type_symbol
_atom_site_fract_x
_atom_site_fract_y
_atom_site_fract_z
_atom_site_occupancy
Tb1 Tb 0.750 0.267 0.665 1
Tb2 Tb 0.250 0.733 0.335 1
As1 As 0.250 0.248 0.893 1
As2 As 0.750 0.752 0.107 1
H1 H 0.250 0.246 0.376 1
H2 H 0.250 0.638 0.670 1
H3 H 0.750 0.754 0.624 1
H4 H 0.750 0.362 0.330 1
Rh1 Rh 0.506 0.184 0.203 1
Rh2 Rh 0.994 0.184 0.203 1
Rh3 Rh 0.006 0.816 0.797 1
Rh4 Rh 0.494 0.816 0.797 1



# 3
# GGA-PBE Ba2NaSrPt, optimized geometry
# Energy above the most stable polymorph in this dataset = 191 meV per atom
# Electronic total energy = -0.10297 Ha/atom
# Calculated formation energy = -0.22 eV/atom
# Symmetry = No. 123
data_Ba2NaSrPt
_chemical_formula_sum 'Ba2 Na1 Sr1 Pt1'
_symmetry_space_group_name_H-M 'P 1'
_symmetry_Int_Tables_number 1
_cell_length_a 6.203
_cell_length_b 6.203
_cell_length_c 6.034
_cell_angle_alpha 90.00
_cell_angle_beta 90.00
_cell_angle_gamma 90.00
loop_
_symmetry_equiv_pos_as_xyz
'x,y,z'
loop_
_atom_site_label
_atom_site_type_symbol
_atom_site_fract_x
_atom_site_fract_y
_atom_site_fract_z
_atom_site_occupancy
Sr1 Sr 0.500 0.500 0.500 1
Ba1 Ba 0.000 0.500 0.000 1
Ba2 Ba 0.500 0.000 0.000 1
Pt1 Pt 0.000 0.000 0.000 1
Na1 Na 0.000 0.000 0.500 1



# 4
# GGA-PBE BaHgSb, optimized geometry
# Energy above the most stable polymorph in this dataset = 15 meV per atom
# Electronic total energy = -0.10189 Ha/atom
# ΔE_f (raw) = -0.657 eV/atom
# Symmetry = No. 63
data_BaHgSb
_chemical_formula_sum 'Ba2 Hg2 Sb2'
_symmetry_space_group_name_H-M 'P 1'
_symmetry_Int_Tables_number 1
_cell_length_a 4.935
_cell_length_b 5.459
_cell_length_c 8.801
_cell_angle_alpha 90.00
_cell_angle_beta 90.00
_cell_angle_gamma 116.88
loop_
_symmetry_equiv_pos_as_xyz
'x,y,z'
loop_
_atom_site_label
_atom_site_type_symbol
_atom_site_fract_x
_atom_site_fract_y
_atom_site_fract_z
_atom_site_occupancy
Ba1 Ba 0.000 0.000 0.000 1
Ba2 Ba 0.000 0.000 0.500 1
Hg1 Hg 0.336 0.671 0.250 1
Hg2 Hg 0.664 0.329 0.750 1
Sb1 Sb 0.663 0.326 0.250 1
Sb2 Sb 0.337 0.674 0.750 1



# 5
# GGA-PBE TiIrAu, optimized geometry
# Energy above the most stable polymorph in this dataset = 0 meV per atom
# Electronic total energy = -0.26498 Ha/atom
# Calculated formation energy = -0.53 eV/atom
# Symmetry = No. 12
data_TiIrAu
_chemical_formula_sum 'Ti4 Ir4 Au4'
_symmetry_space_group_name_H-M 'P 1'
_symmetry_Int_Tables_number 1
_cell_length_a 7.408
_cell_length_b 2.950
_cell_length_c 9.598
_cell_angle_alpha 90.00
_cell_angle_beta 112.47
_cell_angle_gamma 90.00
loop_
_symmetry_equiv_pos_as_xyz
'x,y,z'
loop_
_atom_site_label
_atom_site_type_symbol
_atom_site_fract_x
_atom_site_fract_y
_atom_site_fract_z
_atom_site_occupancy
Ir1 Ir 0.046 0.000 0.650 1
Ir2 Ir 0.954 0.000 0.350 1
Ir3 Ir 0.046 0.500 0.150 1
Ir4 Ir 0.954 0.500 0.850 1
Au1 Au 0.592 0.000 0.663 1
Au2 Au 0.408 0.000 0.337 1
Au3 Au 0.592 0.500 0.163 1
Au4 Au 0.408 0.500 0.837 1
Ti1 Ti 0.240 0.000 0.010 1
Ti2 Ti 0.760 0.000 0.990 1
Ti3 Ti 0.240 0.500 0.510 1
Ti4 Ti 0.760 0.500 0.490 1



# 6
# GGA-PBE ZnFeTc2, optimized geometry
# Electronic total energy = -0.27438 Ha/atom
# Calculated formation energy = 0.15 eV/atom
# Symmetry = No. 8
data_ZnFeTc2
_chemical_formula_sum 'Zn1 Fe1 Tc2'
_symmetry_space_group_name_H-M 'P 1'
_symmetry_Int_Tables_number 1
_cell_length_a 4.668
_cell_length_b 4.668
_cell_length_c 4.580
_cell_angle_alpha 79.20
_cell_angle_beta 79.20
_cell_angle_gamma 34.27
loop_
_symmetry_equiv_pos_as_xyz
'x,y,z'
loop_
_atom_site_label
_atom_site_type_symbol
_atom_site_fract_x
_atom_site_fract_y
_atom_site_fract_z
_atom_site_occupancy
Fe1 Fe 0.251 0.251 0.258 1
Tc1 Tc 0.996 0.996 0.991 1
Tc2 Tc 0.749 0.749 0.766 1
Zn1 Zn 0.504 0.504 0.485 1